(1)
! Np2IrAu (PBE, optimized geometry); values from VASP
! Space-group type: R-3m (166)
! Calculated total energy: -9.5546 eV/atom
! Total magnetization: 7.8 μB per formula unit
! Volume: 24.40 Å³ per atom
&SYSTEM
  ibrav = 0, nat = 4, ntyp = 3
/
ATOMIC_SPECIES
Np 237.00 Np.upf
Ir 192.22 Ir.upf
Au 196.97 Au.upf
ATOMIC_POSITIONS angstrom
Np 0.000 0.000 5.009
Np 0.000 0.000 15.883
Ir 0.000 0.000 10.446
Au 0.000 0.000 0.000
CELL_PARAMETERS angstrom
2.011 1.161 6.964
-2.011 1.161 6.964
0.000 -2.323 6.964

=====

(2)
! TmThMgSc3 (PBE, optimized geometry); values from VASP
! Space-group type: P2_1/m (11)
! Calculated total energy: -5.3757 eV/atom
! Total magnetization: 0.0 μB per formula unit
! Volume: 26.56 Å³ per atom
&SYSTEM
  ibrav = 0, nat = 12, ntyp = 4
/
ATOMIC_SPECIES
Tm 168.93 Tm.upf
Th 232.04 Th.upf
Mg 24.30 Mg.upf
Sc 44.96 Sc.upf
ATOMIC_POSITIONS angstrom
Tm 0.240 0.848 2.754
Tm 6.308 2.543 6.781
Th 0.762 2.543 8.264
Th 5.786 0.848 1.271
Mg -0.844 0.848 5.848
Mg 7.392 2.543 3.686
Sc -1.971 0.848 9.219
Sc 3.007 2.543 2.005
Sc 1.947 2.543 5.166
Sc 4.601 0.848 4.369
Sc 3.541 0.848 7.529
Sc 8.519 2.543 0.316
CELL_PARAMETERS angstrom
9.860 0.000 0.000
0.000 3.391 0.000
-3.312 0.000 9.534

=====

(3)
! Cs2PmF5 (PBE, optimized geometry); values from VASP
! Space-group type: Pnma (62)
! Total magnetization: 0.2 μB per formula unit
! Volume: 21.77 Å³ per atom
! Formation energy (no corrections): -3.446 eV per atom
&SYSTEM
  ibrav = 0, nat = 32, ntyp = 3
/
ATOMIC_SPECIES
Cs 132.91 Cs.upf
Pm 145.00 Pm.upf
F 19.00 F.upf
ATOMIC_POSITIONS angstrom
Cs 2.082 0.015 0.283
Cs 2.082 3.898 0.283
Cs 4.009 3.929 3.936
Cs 4.009 7.812 3.936
Cs 8.174 0.015 3.369
Cs 8.174 3.898 3.369
Cs 10.101 3.929 7.022
Cs 10.101 7.812 7.022
Pm 0.050 1.957 4.038
Pm 6.042 5.870 0.385
Pm 6.141 1.957 6.920
Pm 12.133 5.870 3.267
F 0.226 1.957 6.316
F 0.795 4.181 4.686
F 0.795 7.560 4.686
F 1.950 1.957 2.802
F 2.155 5.870 2.606
F 3.936 1.957 6.259
F 4.141 5.870 6.455
F 5.296 0.267 1.033
F 5.296 3.646 1.033
F 5.865 5.870 2.663
F 6.318 1.957 4.642
F 6.887 4.181 6.272
F 6.887 7.560 6.272
F 8.042 1.957 0.851
F 8.247 5.870 1.047
F 10.028 1.957 4.699
F 10.233 5.870 4.503
F 11.388 0.267 2.620
F 11.388 3.646 2.620
F 11.957 5.870 0.989
CELL_PARAMETERS angstrom
12.183 0.000 0.000
0.000 7.827 0.000
0.000 0.000 7.305

=====

(4)
! LiLa3Pu2S6 (PBE, optimized geometry); values from VASP
! Space-group type: C2/m (12)
! Total magnetization: 11.7 μB per formula unit
! Volume: 23.54 Å³ per atom
! Formation energy (no corrections): -1.897 eV per atom
&SYSTEM
  ibrav = 0, nat = 12, ntyp = 4
/
ATOMIC_SPECIES
Li 6.94 Li.upf
La 138.91 La.upf
Pu 244.00 Pu.upf
S 32.06 S.upf
ATOMIC_POSITIONS angstrom
Li 0.000 0.000 0.000
La 2.345 4.069 3.298
La 2.345 0.000 3.298
La 2.345 -4.069 3.298
Pu 3.517 2.030 0.000
Pu 3.517 -2.030 0.000
S 1.164 2.015 1.549
S -0.019 0.000 5.053
S 1.164 -2.015 1.549
S 3.525 2.015 5.047
S 4.708 0.000 1.543
S 3.525 -2.015 5.047
CELL_PARAMETERS angstrom
3.517 -6.090 0.000
3.517 6.090 0.000
-2.344 0.000 6.596

=====

(5)
! Si2PBr (PBE, optimized geometry); values from VASP
! Space-group type: Imm2 (44)
! ΔE to the lowest computed polymorph: 0.3481 eV/atom
! Total magnetization: 0.0 μB per formula unit
! Volume: 33.31 Å³ per atom
! Formation energy (no corrections): 0.416 eV per atom
&SYSTEM
  ibrav = 0, nat = 4, ntyp = 3
/
ATOMIC_SPECIES
Si 28.09 Si.upf
P 30.97 P.upf
Br 79.90 Br.upf
ATOMIC_POSITIONS angstrom
Si 0.000 0.000 0.000
Si 0.000 2.350 6.312
P 1.762 0.000 1.336
Br 0.000 0.000 5.276
CELL_PARAMETERS angstrom
-1.762 2.350 8.046
1.762 -2.350 8.046
1.762 2.350 -8.046

=====

(6)
! ZrTcC2 (PBE, optimized geometry); values from VASP
! Space-group type: I-42d (122)
! ΔE to the lowest computed polymorph: 0.2982 eV/atom
! Total magnetization: 0.0 μB per formula unit
! Volume: 14.22 Å³ per atom
&SYSTEM
  ibrav = 0, nat = 8, ntyp = 3
/
ATOMIC_SPECIES
Zr 91.22 Zr.upf
Tc 98.00 Tc.upf
C 12.01 C.upf
ATOMIC_POSITIONS angstrom
Zr 0.000 0.000 0.000
Zr 0.000 2.382 2.504
Tc 2.382 0.000 2.504
Tc 0.000 0.000 5.009
C 1.191 -0.966 3.757
C 1.417 1.191 1.252
C 1.191 3.348 -1.252
C 0.966 1.191 6.261
CELL_PARAMETERS angstrom
-2.382 2.382 5.009
2.382 -2.382 5.009
2.382 2.382 -5.009

=====

(7)
! Ca3IrPb (PBE, optimized geometry); values from VASP
! Space-group type: Pm-3m (221)
! ΔE to the lowest computed polymorph: 0.0000 eV/atom
! Total magnetization: 0.0 μB per formula unit
! Volume: 32.49 Å³ per atom
&SYSTEM
  ibrav = 0, nat = 5, ntyp = 3
/
ATOMIC_SPECIES
Ca 40.08 Ca.upf
Ir 192.22 Ir.upf
Pb 207.20 Pb.upf
ATOMIC_POSITIONS angstrom
Ca 0.000 0.000 2.728
Ca 0.000 2.728 0.000
Ca 2.728 0.000 0.000
Ir 0.000 0.000 0.000
Pb 2.728 2.728 2.728
CELL_PARAMETERS angstrom
5.456 0.000 0.000
0.000 5.456 0.000
0.000 0.000 5.456

=====

(8)
! Er3PaAl8 (PBE, optimized geometry); values from VASP
! Space-group type: P3m1 (156)
! Calculated total energy: -4.8499 eV/atom
! Total magnetization: 0.0 μB per formula unit
! Volume: 19.94 Å³ per atom
&SYSTEM
  ibrav = 0, nat = 12, ntyp = 3
/
ATOMIC_SPECIES
Er 167.26 Er.upf
Pa 231.04 Pa.upf
Al 26.98 Al.upf
ATOMIC_POSITIONS angstrom
Er 0.000 0.000 0.000
Er 0.000 0.000 3.371
Er 0.000 3.175 7.874
Pa 0.000 3.175 4.579
Al -1.341 2.401 1.692
Al 1.348 0.778 6.241
Al 1.341 2.401 1.692
Al 0.000 4.723 1.692
Al 2.750 1.588 3.951
Al 2.750 1.588 8.579
Al 4.152 0.778 6.241
Al 2.750 3.207 6.241
CELL_PARAMETERS angstrom
5.500 0.000 0.000
-2.750 4.763 0.000
0.000 0.000 9.135

=====

(9)
! Cs3Ce3YS8 (PBE, optimized geometry); values from VASP
! Space-group type: R-3m (166)
! Total magnetization: 2.0 μB per formula unit
! Volume: 32.79 Å³ per atom
! Formation energy (no corrections): -1.826 eV per atom
&SYSTEM
  ibrav = 0, nat = 15, ntyp = 4
/
ATOMIC_SPECIES
Cs 132.91 Cs.upf
Ce 140.12 Ce.upf
Y 88.91 Y.upf
S 32.06 S.upf
ATOMIC_POSITIONS angstrom
Cs -2.085 -1.204 8.161
Cs -2.085 1.204 16.322
Cs 0.000 2.408 8.161
Ce -4.171 0.000 12.242
Ce -2.085 1.204 4.081
Ce 2.085 1.204 4.081
Y 0.000 0.000 12.242
S 0.000 0.000 5.572
S -2.059 -1.189 13.688
S 0.000 -2.378 10.796
S -2.059 1.189 10.796
S 2.059 -1.189 13.687
S 0.000 2.378 13.687
S 2.059 1.189 10.796
S 0.000 0.000 18.911
CELL_PARAMETERS angstrom
4.171 2.408 8.161
-4.171 2.408 8.161
0.000 -4.816 8.161

=====

(10)
! PmSmErCd (PBE, optimized geometry); values from VASP
! Space-group type: P4mm (99)
! ΔE to the lowest computed polymorph: 0.0000 eV/atom
! Total magnetization: 0.0 μB per formula unit
! Volume: 29.95 Å³ per atom
&SYSTEM
  ibrav = 0, nat = 4, ntyp = 4
/
ATOMIC_SPECIES
Pm 145.00 Pm.upf
Sm 150.36 Sm.upf
Er 167.26 Er.upf
Cd 112.41 Cd.upf
ATOMIC_POSITIONS angstrom
Pm 0.000 0.000 0.000
Sm 1.816 1.816 6.527
Er 1.816 1.816 2.471
Cd 0.000 0.000 4.409
CELL_PARAMETERS angstrom
3.633 0.000 0.000
0.000 3.633 0.000
0.000 0.000 9.079